No. 1
A relaxed VNiPd5 crystal. Source: Alexandria, functional PBE.

```
data_VNiPd5
_chemical_formula_sum 'V4 Ni4 Pd20'
_symmetry_space_group_name_H-M 'C 1 2/c 1'
_symmetry_Int_Tables_number 15
_symmetry_space_group_name_Hall '-C 2yc'
_cell_length_a 9.0100
_cell_length_b 5.7151
_cell_length_c 9.1030
_cell_angle_alpha 90.00
_cell_angle_beta 110.47
_cell_angle_gamma 90.00
loop_
_atom_site_label
_atom_site_type_symbol
_atom_site_fract_x
_atom_site_fract_y
_atom_site_fract_z
_atom_site_occupancy
V1 V 0.0000 0.1017 0.2500 1
Ni1 Ni 0.2500 0.2500 0.0000 1
Pd1 Pd 0.0000 0.3194 0.7500 1
Pd2 Pd 0.0924 0.3221 0.4777 1
Pd3 Pd 0.2488 0.0665 0.7368 1
```

V: 15.684 A^3/atom
Formation energy: 83 meV per atom
Density: 9.71 g/cm³
Total moment: 2.32 μB per cell
Crystal system: monoclinic
VASP energy: -5.7549 eV per atom

No. 2
A relaxed VNiPd2 crystal. Source: Alexandria, functional PBE.

```
data_VNiPd2
_chemical_formula_sum 'V1 Ni1 Pd2'
_symmetry_space_group_name_H-M 'P 4/m m m'
_symmetry_Int_Tables_number 123
_symmetry_space_group_name_Hall '-P 4 2'
_cell_length_a 3.2039
_cell_length_b 3.2039
_cell_length_c 5.4424
_cell_angle_alpha 90.00
_cell_angle_beta 90.00
_cell_angle_gamma 90.00
loop_
_atom_site_label
_atom_site_type_symbol
_atom_site_fract_x
_atom_site_fract_y
_atom_site_fract_z
_atom_site_occupancy
V1 V 0.0000 0.0000 0.0000 1
Ni1 Ni 0.0000 0.0000 0.5000 1
Pd1 Pd 0.5000 0.5000 0.2510 1
```

V: 13.967 A^3/atom
Formation energy: -80 meV per atom
Density: 9.58 g/cm³
Offset from the most stable computed form: 0.52 eV per formula unit
Total moment: 0.74 μB per cell
Crystal system: tetragonal
VASP energy: -6.4015 eV per atom

No. 3
A relaxed VNi4Pd2 crystal. Source: Alexandria, functional PBE.

```
data_VNi4Pd2
_chemical_formula_sum 'V2 Ni8 Pd4'
_symmetry_space_group_name_H-M 'I 4/m m m'
_symmetry_Int_Tables_number 139
_symmetry_space_group_name_Hall '-I 4 2'
_cell_length_a 4.2522
_cell_length_b 4.2522
_cell_length_c 12.1005
_cell_angle_alpha 90.00
_cell_angle_beta 90.00
_cell_angle_gamma 90.00
loop_
_atom_site_label
_atom_site_type_symbol
_atom_site_fract_x
_atom_site_fract_y
_atom_site_fract_z
_atom_site_occupancy
V1 V 0.0000 0.0000 0.0000 1
Ni1 Ni 0.0000 0.0000 0.1763 1
Ni2 Ni 0.0000 0.5000 0.0000 1
Pd1 Pd 0.0000 0.0000 0.3801 1
```

V: 15.628 A^3/atom
Formation energy: 700 meV per atom
Density: 7.57 g/cm³
Offset from the most stable computed form: 5.63 eV per formula unit
Total moment: 0.00 μB per cell
Crystal system: tetragonal
VASP energy: -5.3899 eV per atom

No. 4
A relaxed V2Ni8Pd crystal. Source: Alexandria, functional PBE.

```
data_V2Ni8Pd
_chemical_formula_sum 'V4 Ni16 Pd2'
_symmetry_space_group_name_H-M 'C 1 2/m 1'
_symmetry_Int_Tables_number 12
_symmetry_space_group_name_Hall '-C 2y'
_cell_length_a 6.5436
_cell_length_b 12.4749
_cell_length_c 4.3243
_cell_angle_alpha 90.00
_cell_angle_beta 131.27
_cell_angle_gamma 90.00
loop_
_atom_site_label
_atom_site_type_symbol
_atom_site_fract_x
_atom_site_fract_y
_atom_site_fract_z
_atom_site_occupancy
V1 V 0.0000 0.1827 0.0000 1
Ni1 Ni 0.0000 0.2971 0.5000 1
Ni2 Ni 0.0020 0.0000 0.2499 1
Ni3 Ni 0.2367 0.3659 0.2354 1
Pd1 Pd 0.0000 0.5000 0.5000 1
```

V: 12.060 A^3/atom
Formation energy: 16 meV per atom
Density: 8.49 g/cm³
Offset from the most stable computed form: 1.60 eV per formula unit
Total moment: 0.00 μB per cell
Crystal system: monoclinic
VASP energy: -6.3190 eV per atom

No. 5
A relaxed VNi3Pd crystal. Source: Alexandria, functional PBE.

```
data_VNi3Pd
_chemical_formula_sum 'V4 Ni12 Pd4'
_symmetry_space_group_name_H-M 'C m c m'
_symmetry_Int_Tables_number 63
_symmetry_space_group_name_Hall '-C 2c 2'
_cell_length_a 3.8326
_cell_length_b 12.9645
_cell_length_c 4.9899
_cell_angle_alpha 90.00
_cell_angle_beta 90.00
_cell_angle_gamma 90.00
loop_
_atom_site_label
_atom_site_type_symbol
_atom_site_fract_x
_atom_site_fract_y
_atom_site_fract_z
_atom_site_occupancy
V1 V 0.0000 0.0081 0.2500 1
Ni1 Ni 0.0000 0.1685 0.7500 1
Ni2 Ni 0.0000 0.4035 0.5029 1
Pd1 Pd 0.0000 0.2100 0.2500 1
```

V: 12.397 A^3/atom
Formation energy: -48 meV per atom
Density: 8.93 g/cm³
Offset from the most stable computed form: 0.00 eV per formula unit
Total moment: 0.00 μB per cell
Crystal system: orthorhombic
VASP energy: -6.3790 eV per atom

No. 6
A relaxed VNiPd2 crystal. Source: Alexandria, functional PBE.

```
data_VNiPd2
_chemical_formula_sum 'V2 Ni2 Pd4'
_symmetry_space_group_name_H-M 'C 1 m 1'
_symmetry_Int_Tables_number 8
_symmetry_space_group_name_Hall 'C -2y'
_cell_length_a 9.1865
_cell_length_b 2.9290
_cell_length_c 4.3987
_cell_angle_alpha 90.00
_cell_angle_beta 111.09
_cell_angle_gamma 90.00
loop_
_atom_site_label
_atom_site_type_symbol
_atom_site_fract_x
_atom_site_fract_y
_atom_site_fract_z
_atom_site_occupancy
V1 V 0.0000 0.0000 0.0000 1
Ni1 Ni 0.2947 0.0000 0.7217 1
Pd1 Pd 0.0376 0.5000 0.5239 1
Pd2 Pd 0.2588 0.5000 0.1930 1
```

V: 13.804 A^3/atom
Formation energy: -128 meV per atom
Density: 9.70 g/cm³
Offset from the most stable computed form: 0.33 eV per formula unit
Total moment: 0.00 μB per cell
Crystal system: monoclinic
VASP energy: -6.4497 eV per atom

No. 7
A relaxed VNi2Pd4 crystal. Source: Alexandria, functional PBE.

```
data_VNi2Pd4
_chemical_formula_sum 'V2 Ni4 Pd8'
_symmetry_space_group_name_H-M 'P 1 21/m 1'
_symmetry_Int_Tables_number 11
_symmetry_space_group_name_Hall '-P 2yb'
_cell_length_a 6.3409
_cell_length_b 5.0668
_cell_length_c 6.8930
_cell_angle_alpha 90.00
_cell_angle_beta 114.47
_cell_angle_gamma 90.00
loop_
_atom_site_label
_atom_site_type_symbol
_atom_site_fract_x
_atom_site_fract_y
_atom_site_fract_z
_atom_site_occupancy
V1 V 0.0433 0.2500 0.3195 1
Ni1 Ni 0.0113 0.2500 0.9628 1
Ni2 Ni 0.2149 0.7500 0.5136 1
Pd1 Pd 0.2200 0.2500 0.7100 1
Pd2 Pd 0.3661 0.7500 0.9208 1
Pd3 Pd 0.3720 0.0016 0.2776 1
```

V: 14.397 A^3/atom
Formation energy: 16 meV per atom
Density: 9.79 g/cm³
Offset from the most stable computed form: 0.00 eV per formula unit
Total moment: 0.00 μB per cell
Crystal system: monoclinic
VASP energy: -5.9061 eV per atom

No. 8
A relaxed VNi3Pd crystal. Source: Alexandria, functional PBE.

```
data_VNi3Pd
_chemical_formula_sum 'V1 Ni3 Pd1'
_symmetry_space_group_name_H-M 'P m -3 m'
_symmetry_Int_Tables_number 221
_symmetry_space_group_name_Hall '-P 4 2 3'
_cell_length_a 4.2185
_cell_length_b 4.2185
_cell_length_c 4.2185
_cell_angle_alpha 90.00
_cell_angle_beta 90.00
_cell_angle_gamma 90.00
loop_
_atom_site_label
_atom_site_type_symbol
_atom_site_fract_x
_atom_site_fract_y
_atom_site_fract_z
_atom_site_occupancy
V1 V 0.0000 0.0000 0.0000 1
Ni1 Ni 0.0000 0.0000 0.5000 1
Pd1 Pd 0.5000 0.5000 0.5000 1
```

V: 15.014 A^3/atom
Formation energy: 922 meV per atom
Density: 7.38 g/cm³
Offset from the most stable computed form: 4.85 eV per formula unit
Total moment: 0.00 μB per cell
Crystal system: cubic
VASP energy: -5.4095 eV per atom